[1]
# Ac4P2C PBE relaxed
# V	215.4	Å³/cell
# space-group type	No. 139
# calculated formation energy	-0.47	eV per atom
data_Ac4P2C
_symmetry_space_group_name_H-M 'P 1'
_symmetry_Int_Tables_number 1
_symmetry_space_group_name_Hall 'P 1'
_cell_length_a 8.728
_cell_length_b 8.728
_cell_length_c 8.728
_cell_angle_alpha 145.21
_cell_angle_beta 145.21
_cell_angle_gamma 50.02
loop_
_atom_site_label
_atom_site_type_symbol
_atom_site_fract_x
_atom_site_fract_y
_atom_site_fract_z
Ac1 Ac 0.000 0.500 0.500
Ac2 Ac 0.176 0.176 0.000
Ac3 Ac 0.500 0.000 0.500
Ac4 Ac 0.824 0.824 0.000
P1 P 0.369 0.369 0.000
P2 P 0.631 0.631 0.000
C1 C 0.000 0.000 0.000

[2]
# KBaMn2 PBE relaxed
# distance to the lowest polymorph of the same formula	0.1597	eV per atom
# V	158.7	Å³/cell
# space-group type	No. 123
# calculated formation energy	0.88	eV per atom
data_KBaMn2
_symmetry_space_group_name_H-M 'P 1'
_symmetry_Int_Tables_number 1
_symmetry_space_group_name_Hall 'P 1'
_cell_length_a 4.419
_cell_length_b 4.419
_cell_length_c 8.125
_cell_angle_alpha 90.00
_cell_angle_beta 90.00
_cell_angle_gamma 90.00
loop_
_atom_site_label
_atom_site_type_symbol
_atom_site_fract_x
_atom_site_fract_y
_atom_site_fract_z
K1 K 0.000 0.000 0.000
Ba1 Ba 0.000 0.000 0.500
Mn1 Mn 0.500 0.500 0.332
Mn2 Mn 0.500 0.500 0.668